# 1
## Y2MnSi (PBE)

Data for crystalline Y2MnSi at its relaxed geometry.

## Properties
electronic total energy	-27.96	eV per formula unit
DOS at the Fermi energy	4.5	states/eV/f.u.
magnetization	0.0	μB per formula unit
formation energy (no corrections)	-0.11	eV/atom
crystal system	tetragonal

Lattice parameters (Å, degrees): 3.227 3.227 8.031 90.00 90.00 90.00
Sites, in units of the cell vectors:
Y 0.000 0.000 0.000
Y 0.500 0.500 0.394
Mn 0.000 0.000 0.640
Si 0.500 0.500 0.756

=====

# 2
## LiThCu (PBE)

Data for crystalline LiThCu at its relaxed geometry.

## Properties
electronic total energy	-13.45	eV per formula unit
DOS at the Fermi energy	2.5	states/eV/f.u.
energy above the lowest structure with this stoichiometry	0.000	eV per formula unit
magnetization	0.0	μB per formula unit
crystal system	monoclinic
formation energy	-0.0058	eV per atom

Lattice parameters (Å, degrees): 6.996 4.291 12.400 90.00 92.31 90.00
Sites, in units of the cell vectors:
Li 0.002 0.250 0.080
Li 0.130 0.750 0.535
Li 0.354 0.250 0.199
Li 0.646 0.750 0.801
Li 0.870 0.250 0.465
Li 0.998 0.750 0.920
Th 0.027 0.750 0.286
Th 0.351 0.250 0.916
Th 0.463 0.250 0.625
Th 0.537 0.750 0.375
Th 0.649 0.750 0.084
Th 0.973 0.250 0.714
Cu 0.237 0.750 0.086
Cu 0.244 0.250 0.416
Cu 0.254 0.750 0.752
Cu 0.746 0.250 0.248
Cu 0.756 0.750 0.584
Cu 0.763 0.250 0.914

=====

# 3
## TlAs2BrF (PBE)

Data for crystalline TlAs2BrF at its relaxed geometry.

## Properties
electronic total energy	-15.34	eV per formula unit
DOS at the Fermi energy	4.3	states/eV/f.u.
energy above the lowest structure with this stoichiometry	0.000	eV per formula unit
magnetization	0.0	μB per formula unit
formation energy (no corrections)	-0.03	eV/atom
crystal system	tetragonal

Lattice parameters (Å, degrees): 4.436 4.436 6.770 90.00 90.00 90.00
Sites, in units of the cell vectors:
Tl 0.000 0.000 0.000
As 0.000 0.500 0.500
As 0.500 0.000 0.500
Br 0.500 0.500 0.000
F 0.500 0.500 0.500

=====

# 4
## Er6Mg5Sb (PBE)

Data for crystalline Er6Mg5Sb at its relaxed geometry.

## Properties
electronic total energy	-42.09	eV per formula unit
DOS at the Fermi energy	11.2	states/eV/f.u.
magnetization	0.0	μB per formula unit
formation energy (no corrections)	-0.22	eV/atom
crystal system	orthorhombic

Lattice parameters (Å, degrees): 8.458 8.458 7.345 90.00 90.00 143.19
Sites, in units of the cell vectors:
Er 0.000 0.000 0.247
Er 0.000 0.000 0.753
Er 0.334 0.666 0.253
Er 0.334 0.666 0.747
Er 0.666 0.334 0.253
Er 0.666 0.334 0.747
Mg 0.165 0.835 0.500
Mg 0.175 0.825 0.000
Mg 0.500 0.500 0.500
Mg 0.825 0.175 0.000
Mg 0.835 0.165 0.500
Sb 0.500 0.500 0.000

=====

# 5
## CuWSCl2 (PBE)

Data for crystalline CuWSCl2 at its relaxed geometry.

## Properties
electronic total energy	-23.25	eV per formula unit
DOS at the Fermi energy	3.7	states/eV/f.u.
energy above the lowest structure with this stoichiometry	0.000	eV per formula unit
magnetization	0.0	μB per formula unit
formation energy (no corrections)	0.32	eV/atom
crystal system	tetragonal

Lattice parameters (Å, degrees): 4.835 4.835 4.620 90.00 90.00 90.00
Sites, in units of the cell vectors:
Cu 0.000 0.000 0.000
W 0.500 0.500 0.500
S 0.500 0.500 0.000
Cl 0.000 0.500 0.500
Cl 0.500 0.000 0.500

=====

# 6
## Tb5ScP6 (PBE)

Data for crystalline Tb5ScP6 at its relaxed geometry.

## Properties
electronic total energy	-80.85	eV per formula unit
DOS at the Fermi energy	1.2	states/eV/f.u.
magnetization	0.0	μB per formula unit
crystal system	monoclinic
formation energy	-1.5757	eV per atom

Lattice parameters (Å, degrees): 6.906 6.906 6.906 99.62 99.62 119.98
Sites, in units of the cell vectors:
Tb 0.000 0.000 0.000
Tb 0.166 0.834 0.500
Tb 0.332 0.668 0.000
Tb 0.668 0.332 0.000
Tb 0.834 0.166 0.500
Sc 0.500 0.500 0.500
P 0.093 0.419 0.256
P 0.257 0.257 0.746
P 0.419 0.093 0.256
P 0.581 0.907 0.744
P 0.743 0.743 0.254
P 0.907 0.581 0.744

=====

# 7
## ThMgAl2Pt4 (PBE)

Data for crystalline ThMgAl2Pt4 at its relaxed geometry.

## Properties
electronic total energy	-49.24	eV per formula unit
DOS at the Fermi energy	2.0	states/eV/f.u.
magnetization	0.0	μB per formula unit
crystal system	trigonal
formation energy	-1.0723	eV per atom

Lattice parameters (Å, degrees): 9.140 9.140 9.140 27.37 27.37 27.37
Sites, in units of the cell vectors:
Th 0.000 0.000 0.000
Mg 0.500 0.500 0.500
Al 0.237 0.237 0.237
Al 0.763 0.763 0.763
Pt 0.132 0.132 0.132
Pt 0.400 0.400 0.400
Pt 0.600 0.600 0.600
Pt 0.868 0.868 0.868